A relaxed structure of PdS5Br. Source: the Alexandria database, functional PBE-GGA.

Summary:
Uncorrected energy ... -3.901 eV/atom
Volume ... 28.6 Å³ per atom

Lattice parameters (Å, degrees): 11.444 5.324 7.428 114.95 147.51 81.18
Fractional positions:
Pd  0.830  0.282  0.605
S  0.705  0.009  0.096
S  0.159  0.553  0.316
S  0.418  0.181  0.097
S  0.207  0.760  0.732
S  0.372  0.945  0.575
Br  0.839  0.800  0.639

=====

A relaxed structure of Fe3CoRh6. Source: the Alexandria database, functional PBE-GGA.

Summary:
Uncorrected energy ... -7.663 eV/atom
Formation energy ... -0.002 eV per atom
Volume ... 13.3 Å³ per atom

Lattice parameters (Å, degrees): 4.303 7.088 9.578 114.02 90.00 90.00
Last column: magnetic moment on the atom in μB.
Fractional positions:
Fe  0.250  0.569  0.372  2.82
Fe  0.750  0.431  0.628  2.82
Fe  0.250  0.361  0.765  2.75
Fe  0.750  0.639  0.235  2.75
Fe  0.250  0.764  0.969  2.83
Fe  0.750  0.236  0.031  2.83
Co  0.250  0.970  0.567  1.74
Co  0.750  0.030  0.433  1.74
Rh  0.250  0.465  0.071  0.17
Rh  0.750  0.535  0.929  0.17
Rh  0.250  0.164  0.166  0.05
Rh  0.750  0.836  0.834  0.05
Rh  0.250  0.663  0.669  0.27
Rh  0.750  0.337  0.331  0.27
Rh  0.250  0.261  0.472  0.40
Rh  0.750  0.739  0.528  0.40
Rh  0.250  0.863  0.276  0.40
Rh  0.750  0.137  0.724  0.40
Rh  0.250  0.069  0.866  0.14
Rh  0.750  0.931  0.134  0.14